Density functional theory data (PBE) for a relaxed TbNd2Te2 crystal.

Lattice parameters (Å, degrees): 7.4783 6.0713 7.3163 90.00 103.18 90.00
Space group C2/m (No. 12)
Symmetry-distinct sites (fractional):
Tb  0.0000  0.0000  0.0000 [2 per cell]
Nd  0.0000  0.2477  0.5000 [4 per cell]
Te  0.1802  0.5000  0.1970 [4 per cell]

Energy relative to the elements, uncorrected: -3.87 eV per formula unit
Density: 7.2 Mg/m³



Density functional theory data (PBE) for a relaxed Ca3Tl2Au4 crystal.

Lattice parameters (Å, degrees): 11.9412 4.5757 9.4274 90.00 119.02 90.00
Space group C2/m (No. 12)
Symmetry-distinct sites (fractional):
Ca  0.0000  0.0000  0.0000 [2 per cell]
Ca  0.1410  0.5000  0.6951 [4 per cell]
Tl  0.1520  0.5000  0.3165 [4 per cell]
Au  0.0659  0.0000  0.4118 [4 per cell]
Au  0.2148  0.5000  0.0576 [4 per cell]

Density: 9.7 Mg/m³
Energy of formation from the pure elements: -0.575 eV per atom



Size of the total moment per entry: 0.00, 0.00 μB per cell
Final energy per entry: -4.864, -3.225 eV/atom